Record 1
Below is crystalline K3Cd2Cl3O2 at its relaxed geometry, with properties calculated at the GGA-PBE level.

Output
Crystal system: tetragonal
Total moment in μB per atom: 0.00

Lattice parameters (Å, degrees): 4.436 4.436 13.259 99.63 99.63 90.00
Fractional positions:
O 0.250 0.750 0.500
O 0.750 0.250 0.500
Cd 0.229 0.229 0.458
Cd 0.771 0.771 0.542
K 0.631 0.631 0.262
K 0.000 0.000 0.000
K 0.369 0.369 0.738
Cl 0.500 0.500 0.000
Cl 0.879 0.879 0.757
Cl 0.121 0.121 0.243

***

Record 2
Below is crystalline K5CdClO2 at its relaxed geometry, with properties calculated at the GGA-PBE level.

Output
Crystal system: tetragonal
Total moment in μB per atom: 0.00

Lattice parameters (Å, degrees): 5.402 5.402 9.677 90.00 90.00 90.00
Fractional positions:
K 0.000 0.500 0.769
K 0.500 0.000 0.769
K 0.000 0.500 0.231
K 0.500 0.000 0.231
K 0.000 0.000 0.500
O 0.000 0.000 0.231
O 0.000 0.000 0.769
Cl 0.500 0.500 0.500
Cd 0.000 0.000 0.000

***

Record 3
Below is crystalline KCdP2Cl at its relaxed geometry, with properties calculated at the GGA-PBE level.

Output
Crystal system: tetragonal
Total moment in μB per atom: 0.33
Energy above the lowest structure with this stoichiometry in eV/atom: 0.0000

Lattice parameters (Å, degrees): 5.003 5.003 6.020 90.00 90.00 90.00
Each line ends with the local moment (μB).
Fractional positions:
Cd 0.000 0.000 0.000  0.01
P 0.500 0.000 0.000  0.32
P 0.000 0.500 0.000  0.32
K 0.500 0.500 0.500  0.00
Cl 0.000 0.000 0.500  0.09

***

Record 4
Below is crystalline KCdPCl2 at its relaxed geometry, with properties calculated at the GGA-PBE level.

Output
Crystal system: tetragonal
Total moment in μB per atom: 0.39
Energy above the lowest structure with this stoichiometry in eV/atom: 0.7735

Lattice parameters (Å, degrees): 5.741 5.741 6.108 90.00 90.00 90.00
Each line ends with the local moment (μB).
Fractional positions:
K 0.000 0.000 0.000  0.03
Cd 0.500 0.500 0.500  -0.23
Cl 0.000 0.500 0.000  -0.07
Cl 0.500 0.000 0.000  -0.07
P 0.000 0.000 0.500  1.11

***

Record 5
Below is crystalline KCdP2Cl at its relaxed geometry, with properties calculated at the GGA-PBE level.

Output
Crystal system: tetragonal
Total moment in μB per atom: 1.20
Energy above the lowest structure with this stoichiometry in eV/atom: 0.7797

Lattice parameters (Å, degrees): 6.979 6.979 5.701 90.00 90.00 90.00
Each line ends with the local moment (μB).
Fractional positions:
Cl 0.000 0.000 0.500  0.07
P 0.000 0.500 0.000  1.18
P 0.500 0.000 0.000  1.18
Cd 0.500 0.500 0.500  0.07
K 0.000 0.000 0.000  0.02

***

Record 6
Below is crystalline KCdPCl2 at its relaxed geometry, with properties calculated at the GGA-PBE level.

Output
Crystal system: tetragonal
Total moment in μB per atom: 0.40
Energy above the lowest structure with this stoichiometry in eV/atom: 0.0000

Lattice parameters (Å, degrees): 5.567 5.567 5.066 90.00 90.00 90.00
Each line ends with the local moment (μB).
Fractional positions:
Cl 0.000 0.500 0.000  0.07
Cl 0.500 0.000 0.000  0.07
P 0.000 0.000 0.500  0.77
Cd 0.000 0.000 0.000  0.00
K 0.500 0.500 0.500  0.01

***

Record 7
Below is crystalline KPaCdCl6 at its relaxed geometry, with properties calculated at the GGA-PBE level.

Output
Crystal system: trigonal
Total moment in μB per atom: 0.01

Lattice parameters (Å, degrees): 7.894 7.894 14.589 90.00 90.00 120.00
Each line ends with the local moment (μB).
Fractional positions:
Pa 0.667 0.333 0.250  0.07
Pa 0.333 0.667 0.750  0.07
Cl 0.344 0.938 0.649  0.00
Cl 0.344 0.405 0.851  0.00
Cl 0.595 0.938 0.851  0.00
Cl 0.405 0.344 0.351  0.00
Cl 0.938 0.595 0.351  0.00
Cl 0.595 0.656 0.649  0.00
Cl 0.405 0.062 0.149  0.00
Cl 0.062 0.656 0.851  0.00
Cl 0.656 0.062 0.351  0.00
Cl 0.656 0.595 0.149  0.00
Cl 0.062 0.405 0.649  0.00
Cl 0.938 0.344 0.149  0.00
Cd 0.000 0.000 0.000  0.00
Cd 0.000 0.000 0.500  0.00
K 0.333 0.667 0.250  0.00
K 0.667 0.333 0.750  0.00

***

Record 8
Below is crystalline KCdPbCl5 at its relaxed geometry, with properties calculated at the GGA-PBE level.

Output
Crystal system: monoclinic
Total moment in μB per atom: 0.00

Lattice parameters (Å, degrees): 7.810 7.810 10.273 103.58 103.58 106.98
Fractional positions:
Cl 0.097 0.903 0.250
Cl 0.338 0.924 0.627
Cl 0.272 0.385 0.561
Cl 0.662 0.076 0.373
Cl 0.076 0.662 0.873
Cl 0.385 0.272 0.061
Cl 0.615 0.728 0.939
Cl 0.728 0.615 0.439
Cl 0.924 0.338 0.127
Cl 0.903 0.097 0.750
Pb 0.000 0.000 0.000
Pb 0.000 0.000 0.500
Cd 0.319 0.681 0.750
Cd 0.681 0.319 0.250
K 0.345 0.655 0.250
K 0.655 0.345 0.750

***

Record 9
Below is crystalline KCd2PbCl8 at its relaxed geometry, with properties calculated at the GGA-PBE level.

Output
Crystal system: triclinic
Total moment in μB per atom: 0.00

Lattice parameters (Å, degrees): 6.621 6.350 8.351 89.96 89.97 89.08
Fractional positions:
Cl 0.174 0.744 0.227
Cl 0.174 0.744 0.773
Cl 0.826 0.256 0.773
Cl 0.826 0.256 0.227
Cl 0.635 0.720 0.500
Cl 0.365 0.280 0.500
Cl 0.340 0.273 0.000
Cl 0.660 0.727 0.000
K 0.000 0.000 0.500
Cd 0.500 0.500 0.745
Cd 0.500 0.500 0.255
Pb 0.000 0.000 0.000

***

Record 10
Below is crystalline K3Cd2PbCl9 at its relaxed geometry, with properties calculated at the GGA-PBE level.

Output
Crystal system: trigonal
Total moment in μB per atom: 0.00

Lattice parameters (Å, degrees): 7.520 7.520 9.706 90.00 90.00 120.00
Fractional positions:
Cd 0.333 0.667 0.165
Cd 0.667 0.333 0.835
K 0.333 0.667 0.739
K 0.667 0.333 0.261
K 0.000 0.000 0.000
Cl 0.000 0.500 0.000
Cl 0.668 0.834 0.309
Cl 0.834 0.668 0.691
Cl 0.500 0.500 0.000
Cl 0.166 0.332 0.309
Cl 0.834 0.166 0.691
Cl 0.332 0.166 0.691
Cl 0.500 0.000 0.000
Cl 0.166 0.834 0.309
Pb 0.000 0.000 0.500

***

Record 11
Below is crystalline K2CdPbCl6 at its relaxed geometry, with properties calculated at the GGA-PBE level.

Output
Crystal system: tetragonal
Total moment in μB per atom: 0.00

Lattice parameters (Å, degrees): 5.841 7.604 7.604 90.00 90.00 90.00
Fractional positions:
Cl 0.148 0.500 0.500
Cl 0.708 0.762 0.762
Cl 0.708 0.238 0.238
Cl 0.708 0.762 0.238
Cl 0.178 0.000 0.000
Cl 0.708 0.238 0.762
Cd 0.605 0.000 0.000
K 0.027 0.500 0.000
K 0.027 0.000 0.500
Pb 0.629 0.500 0.500

***

Record 12
Below is crystalline KCd2PdCl8 at its relaxed geometry, with properties calculated at the GGA-PBE level.

Output
Crystal system: triclinic
Total moment in μB per atom: 0.08

Lattice parameters (Å, degrees): 6.492 6.143 8.079 89.85 89.91 87.66
Each line ends with the local moment (μB).
Fractional positions:
Cl 0.146 0.763 0.798  0.02
Cl 0.368 0.281 0.500  0.00
Cl 0.632 0.719 0.500  0.00
Cl 0.855 0.238 0.798  0.02
Cl 0.145 0.762 0.202  0.02
Cl 0.657 0.743 0.000  0.12
Cl 0.854 0.237 0.202  0.02
Cl 0.343 0.257 0.000  0.12
K 0.000 0.000 0.500  0.00
Pd 0.000 0.000 0.000  0.47
Cd 0.500 0.499 0.757  0.01
Cd 0.500 0.501 0.243  0.01

***

Record 13
Below is crystalline KCdPdCl6 at its relaxed geometry, with properties calculated at the GGA-PBE level.

Output
Crystal system: monoclinic
Total moment in μB per atom: 0.11

Lattice parameters (Å, degrees): 6.575 6.574 6.925 88.79 91.18 62.97
Each line ends with the local moment (μB).
Fractional positions:
Cd 0.678 0.678 0.500  0.00
K 0.001 0.001 0.000  0.00
Cl 0.353 0.619 0.301  0.02
Cl 0.025 0.353 0.304  0.03
Cl 0.020 0.617 0.725  0.15
Cl 0.619 0.353 0.699  0.02
Cl 0.353 0.025 0.696  0.03
Cl 0.617 0.020 0.275  0.15
Pd 0.334 0.334 0.500  0.51

***

Record 14
Below is crystalline KPmCdCl6 at its relaxed geometry, with properties calculated at the GGA-PBE level.

Output
Crystal system: trigonal
Total moment in μB per atom: 0.00

Lattice parameters (Å, degrees): 7.031 7.031 13.779 90.00 90.00 120.00
Fractional positions:
Cl 0.633 0.626 0.638
Cl 0.633 0.007 0.862
Cl 0.626 0.993 0.362
Cl 0.367 0.993 0.138
Cl 0.007 0.633 0.362
Cl 0.374 0.367 0.862
Cl 0.007 0.374 0.138
Cl 0.626 0.633 0.138
Cl 0.993 0.626 0.862
Cl 0.993 0.367 0.638
Cl 0.374 0.007 0.638
Cl 0.367 0.374 0.362
Cd 0.333 0.667 0.250
Cd 0.667 0.333 0.750
K 0.000 0.000 0.500
K 0.000 0.000 0.000
Pm 0.667 0.333 0.250
Pm 0.333 0.667 0.750

***

Record 15
Below is crystalline KCdPtCl6 at its relaxed geometry, with properties calculated at the GGA-PBE level.

Output
Crystal system: monoclinic
Total moment in μB per atom: 0.11

Lattice parameters (Å, degrees): 6.585 6.585 6.939 88.65 91.34 63.28
Each line ends with the local moment (μB).
Fractional positions:
Cl 0.351 0.027 0.693  0.01
Cl 0.619 0.017 0.272  0.14
Cl 0.027 0.351 0.307  0.01
Cl 0.620 0.350 0.696  0.01
Cl 0.017 0.619 0.728  0.14
Cl 0.350 0.621 0.304  0.01
Cd 0.680 0.680 0.500  0.00
K 0.002 0.002 0.000  0.00
Pt 0.334 0.334 0.500  0.54

***

Record 16
Below is crystalline KPuCdCl6 at its relaxed geometry, with properties calculated at the GGA-PBE level.

Output
Crystal system: trigonal
Total moment in μB per atom: 0.56

Lattice parameters (Å, degrees): 7.074 7.074 13.606 90.00 90.00 120.00
Each line ends with the local moment (μB).
Fractional positions:
Pu 0.667 0.333 0.250  5.02
Pu 0.333 0.667 0.750  5.02
Cl 0.370 0.007 0.639  -0.02
Cl 0.370 0.364 0.861  -0.02
Cl 0.993 0.630 0.861  -0.02
Cl 0.630 0.636 0.139  -0.02
Cl 0.630 0.993 0.361  -0.02
Cl 0.636 0.630 0.639  -0.02
Cl 0.364 0.370 0.361  -0.02
Cl 0.993 0.364 0.639  -0.02
Cl 0.364 0.993 0.139  -0.02
Cl 0.007 0.370 0.139  -0.02
Cl 0.007 0.636 0.361  -0.02
Cl 0.636 0.007 0.861  -0.02
K 0.000 0.000 0.000  0.00
K 0.000 0.000 0.500  0.00
Cd 0.333 0.667 0.250  0.01
Cd 0.667 0.333 0.750  0.01

***

Record 17
Below is crystalline KPuCd2Cl8 at its relaxed geometry, with properties calculated at the GGA-PBE level.

Output
Crystal system: triclinic
Total moment in μB per atom: 0.42

Lattice parameters (Å, degrees): 6.572 6.404 8.366 89.71 89.76 89.25
Each line ends with the local moment (μB).
Fractional positions:
Cl 0.824 0.249 0.222  -0.02
Cl 0.637 0.719 0.501  0.00
Cl 0.176 0.751 0.778  -0.02
Cl 0.363 0.281 0.499  0.00
Cl 0.825 0.251 0.778  -0.02
Cl 0.669 0.726 0.001  -0.02
Cl 0.331 0.274 0.999  -0.02
Cl 0.175 0.749 0.222  -0.02
Cd 0.502 0.502 0.257  0.01
Cd 0.498 0.498 0.743  0.01
K 0.000 0.000 0.500  0.00
Pu 0.000 0.000 0.000  5.02

***

Record 18
Below is crystalline KRbCdCl4 at its relaxed geometry, with properties calculated at the GGA-PBE level.

Output
Crystal system: tetragonal
Total moment in μB per atom: 0.00

Lattice parameters (Å, degrees): 5.289 5.289 8.847 107.39 107.39 90.00
Fractional positions:
Cl 0.163 0.163 0.327
Cl 0.839 0.839 0.678
Cl 0.498 0.998 0.996
Cl 0.998 0.498 0.996
Cd 0.000 0.000 0.001
K 0.362 0.362 0.723
Rb 0.640 0.640 0.280

***

Record 19
Below is crystalline KRb2CdCl at its relaxed geometry, with properties calculated at the GGA-PBE level.

Output
Crystal system: tetragonal
Total moment in μB per atom: 0.00

Lattice parameters (Å, degrees): 6.435 6.435 6.113 90.00 90.00 90.00
Fractional positions:
Rb 0.500 0.000 0.000
Rb 0.000 0.500 0.000
Cd 0.500 0.500 0.500
Cl 0.000 0.000 0.000
K 0.000 0.000 0.500

***

Record 20
Below is crystalline KRb2Cd2Cl7 at its relaxed geometry, with properties calculated at the GGA-PBE level.

Output
Crystal system: tetragonal
Total moment in μB per atom: 0.00

Lattice parameters (Å, degrees): 5.287 5.287 13.824 78.99 78.99 90.00
Fractional positions:
Cl 0.696 0.696 0.607
Cl 0.906 0.405 0.189
Cl 0.500 0.500 0.000
Cl 0.405 0.906 0.189
Cl 0.595 0.094 0.811
Cl 0.304 0.304 0.393
Cl 0.094 0.595 0.811
Cd 0.599 0.599 0.801
Cd 0.401 0.401 0.199
Rb 0.820 0.820 0.360
Rb 0.180 0.180 0.640
K 0.000 0.000 0.000

***

Record 21
Below is crystalline K2RbCd2Cl7 at its relaxed geometry, with properties calculated at the GGA-PBE level.

Output
Crystal system: monoclinic
Total moment in μB per atom: 0.00

Lattice parameters (Å, degrees): 5.287 5.287 13.538 78.77 78.77 90.00
Fractional positions:
Cl 0.303 0.303 0.402
Cl 0.697 0.697 0.598
Cl 0.500 0.500 0.000
Cl 0.098 0.599 0.803
Cl 0.599 0.098 0.803
Cl 0.401 0.902 0.197
Cl 0.902 0.401 0.197
K 0.184 0.184 0.640
K 0.816 0.816 0.360
Rb 0.000 0.000 0.000
Cd 0.398 0.398 0.205
Cd 0.602 0.602 0.795

***

In eV per atom, the E_form (uncorrected) values for the records above are, in order, -1.491; -1.028; 0.124; 0.193; 0.904; -0.581; -1.640; -1.334; -1.087; -1.418; -1.424; -0.918; -0.970; -1.830; -0.962; -1.659; -1.462; -1.584; -0.682; -1.523; -1.521.